DFT (PBE) results for Ho2TeO6 after structural relaxation.

a b c (Å): 4.9786 4.9786 10.0491
angles (deg): 90.00 90.00 90.00
With the nearest neighbours (Å) after each atom.
Atoms (fractional coordinates):
Ho1 0.0000 0.0000 0.1654  6 O 2.24-2.29
Ho2 0.0000 0.0000 0.8346  6 O 2.24-2.29
Ho3 0.5000 0.5000 0.3346  6 O 2.24-2.29
Ho4 0.5000 0.5000 0.6654  6 O 2.24-2.29
Te1 0.0000 0.0000 0.5000  6 O 1.96
Te2 0.5000 0.5000 0.0000  6 O 1.96
O1 0.1834 0.1834 0.3535  1 Te 1.96
O2 0.1834 0.1834 0.6465  1 Te 1.96
O3 0.2213 0.2213 0.0000  1 Te 1.96
O4 0.2787 0.7213 0.5000  1 Te 1.96
O5 0.3166 0.6834 0.1465  1 Te 1.96
O6 0.3166 0.6834 0.8535  1 Te 1.96
O7 0.6834 0.3166 0.1465  1 Te 1.96
O8 0.6834 0.3166 0.8535  1 Te 1.96
O9 0.7213 0.2787 0.5000  1 Te 1.96
O10 0.7787 0.7787 0.0000  1 Te 1.96
O11 0.8166 0.8166 0.3535  1 Te 1.96
O12 0.8166 0.8166 0.6465  1 Te 1.96

- Formation energy (no corrections): -2.51 eV/atom
- VASP energy: -0.528 Ry/atom
- Energy above the most stable polymorph in this dataset: 0.062 eV/atom

DFT (PBE) results for SrNdTm2 after structural relaxation.

a b c (Å): 12.9174 12.9174 12.9174
angles (deg): 16.08 16.08 16.08
With the nearest neighbours (Å) after each atom.
Atoms (fractional coordinates):
Sr1 0.0000 0.0000 0.0000  2 Tm 3.53, 6 Sr 3.61
Nd1 0.5000 0.5000 0.5000  6 Tm 3.52, 6 Nd 3.61
Tm1 0.0924 0.0924 0.0924  3 Nd 3.52, 1 Sr 3.53, 6 Tm 3.61
Tm2 0.9076 0.9076 0.9076  3 Nd 3.52, 1 Sr 3.53, 6 Tm 3.61

- Calculated formation energy: 244 meV/atom
- VASP energy: -0.265 Ry/atom
- Energy above the most stable polymorph in this dataset: 0.107 eV/atom

DFT (PBE) results for GaGeTe2 after structural relaxation.

a b c (Å): 7.7765 7.7765 7.7765
angles (deg): 30.67 30.67 30.67
With the nearest neighbours (Å) after each atom.
Atoms (fractional coordinates):
Ga1 0.0000 0.0000 0.0000  6 Te 2.98-3.13
Ge1 0.1673 0.1673 0.1673  6 Te 2.90-3.05
Te1 0.5752 0.5752 0.5752  3 Ge 2.90, 3 Ga 3.13
Te2 0.7480 0.7480 0.7480  3 Ga 2.98, 3 Ge 3.05

- Formation energy (no corrections): -0.08 eV/atom
- VASP energy: -0.261 Ry/atom
- Energy above the most stable polymorph in this dataset: 0.057 eV/atom

DFT (PBE) results for SmGdGaRh after structural relaxation.

a b c (Å): 5.0414 5.0414 5.0414
angles (deg): 60.00 60.00 60.00
With the nearest neighbours (Å) after each atom.
Atoms (fractional coordinates):
Sm1 0.0000 0.0000 0.0000  4 Rh 3.09, 4 Ga 3.09
Gd1 0.5000 0.5000 0.5000  4 Rh 3.09, 4 Ga 3.09
Ga1 0.2500 0.2500 0.2500  4 Gd 3.09, 4 Sm 3.09
Rh1 0.7500 0.7500 0.7500  4 Gd 3.09, 4 Sm 3.09

- Calculated formation energy: -610 meV/atom
- VASP energy: -0.581 Ry/atom

DFT (PBE) results for LaCr2Cd after structural relaxation.

a b c (Å): 2.9544 4.5002 6.2820
angles (deg): 90.00 90.00 90.00
With the nearest neighbours (Å) after each atom.
Atoms (fractional coordinates):
La1 0.0000 0.0000 0.0000  2 La 2.95, 4 Cr 3.15
Cr1 0.0000 0.5000 0.3504  1 Cr 1.88
Cr2 0.0000 0.5000 0.6496  1 Cr 1.88
Cd1 0.5000 0.0000 0.5000  8 Cr 2.85, 2 Cd 2.95

- Calculated formation energy: 658 meV/atom
- VASP energy: -0.413 Ry/atom

DFT (PBE) results for BaCd2Ag9 after structural relaxation.

a b c (Å): 9.6029 9.6029 3.1293
angles (deg): 90.00 90.00 120.00
With the nearest neighbours (Å) after each atom.
Atoms (fractional coordinates):
Ba1 0.0000 0.0000 0.0000  2 Ba 3.13, 12 Ag 3.43
Cd1 0.3333 0.6667 0.0000  9 Ag 2.77-2.94
Cd2 0.6667 0.3333 0.0000  9 Ag 2.77-2.94
Ag1 0.0000 0.5000 0.0000  2 Cd 2.77, 8 Ag 3.07
Ag2 0.1837 0.3674 0.5000  2 Cd 2.94, 8 Ag 3.06-3.13
Ag3 0.1837 0.8163 0.5000  2 Cd 2.94, 8 Ag 3.06-3.13
Ag4 0.3674 0.1837 0.5000  2 Cd 2.94, 8 Ag 3.06-3.13
Ag5 0.5000 0.0000 0.0000  2 Cd 2.77, 8 Ag 3.07
Ag6 0.5000 0.5000 0.0000  2 Cd 2.77, 8 Ag 3.07
Ag7 0.6326 0.8163 0.5000  2 Cd 2.94, 8 Ag 3.06-3.13
Ag8 0.8163 0.1837 0.5000  2 Cd 2.94, 8 Ag 3.06-3.13
Ag9 0.8163 0.6326 0.5000  2 Cd 2.94, 8 Ag 3.06-3.13

- Calculated formation energy: 41 meV/atom
- VASP energy: -0.177 Ry/atom
- Energy above the most stable polymorph in this dataset: 0.108 eV/atom

DFT (PBE) results for Li4RuSe2 after structural relaxation.

a b c (Å): 7.5582 7.5582 7.5582
angles (deg): 145.71 145.71 49.27
With the nearest neighbours (Å) after each atom.
Atoms (fractional coordinates):
Li1 0.0000 0.5000 0.5000  2 Ru 2.23
Li2 0.1940 0.1940 0.0000  1 Se 2.52, 1 Ru 2.67
Li3 0.5000 0.0000 0.5000  2 Ru 2.23
Li4 0.8060 0.8060 0.0000  1 Se 2.52, 1 Ru 2.67
Ru1 0.0000 0.0000 0.0000  4 Li 2.23
Se1 0.3775 0.3775 0.0000  5 Li 2.52-2.79
Se2 0.6225 0.6225 0.0000  5 Li 2.52-2.79

- Formation energy (no corrections): 0.03 eV/atom
- VASP energy: -0.249 Ry/atom

DFT (PBE) results for La6HoCo3 after structural relaxation.

a b c (Å): 8.8273 8.8273 7.2503
angles (deg): 90.00 90.00 100.95
With the nearest neighbours (Å) after each atom.
Atoms (fractional coordinates):
La1 0.0269 0.9731 0.5000  4 Co 3.20-3.32, 1 Ho 3.56
La2 0.0398 0.4093 0.3681  1 Co 2.61
La3 0.2871 0.3796 0.9926  4 Co 2.76-3.03
La4 0.3288 0.6712 0.6176  1 Co 2.48
La5 0.3796 0.2871 0.4926  4 Co 2.76-3.03
La6 0.4093 0.0398 0.8681  1 Co 2.61
La7 0.5907 0.9602 0.3681  1 Co 2.61
La8 0.6204 0.7129 0.9926  4 Co 2.76-3.03
La9 0.6712 0.3288 0.1176  1 Co 2.48
La10 0.7129 0.6204 0.4926  4 Co 2.76-3.03
La11 0.9602 0.5907 0.8681  1 Co 2.61
La12 0.9731 0.0269 0.0000  4 Co 3.20-3.32, 1 Ho 3.56
Ho1 0.2230 0.7770 0.1753  3 Co 2.71-2.75
Ho2 0.7770 0.2230 0.6753  3 Co 2.71-2.75
Co1 0.0929 0.3046 0.6945  2 La 2.61-2.76, 1 Ho 2.75
Co2 0.3046 0.0929 0.1945  2 La 2.61-2.76, 1 Ho 2.75
Co3 0.4086 0.5914 0.3101  1 La 2.48, 1 Ho 2.71
Co4 0.5914 0.4086 0.8101  1 La 2.48, 1 Ho 2.71
Co5 0.6954 0.9071 0.6945  2 La 2.61-2.76, 1 Ho 2.75
Co6 0.9071 0.6954 0.1945  2 La 2.61-2.76, 1 Ho 2.75

- Calculated formation energy: -92 meV/atom
- VASP energy: -0.414 Ry/atom

| no. | ρ (g/cm3) | spin magnetization (μB/cell) |
| --- | --- | --- |
| 1 | 7.4 | 0.0 |
| 2 | 6.6 | 0.0 |
| 3 | 6.1 | 0.0 |
| 4 | 8.8 | 7.1 |
| 5 | 7.1 | 0.9 |
| 6 | 8.9 | 0.0 |
| 7 | 3.5 | 2.5 |
| 8 | 7.0 | 0.0 |